1.
A plane-wave DFT calculation with GGA-PBE was carried out for a relaxed Sm5Y2Ho2 crystal. Values from VASP.

```
&SYSTEM
  ibrav = 0, nat = 18, ntyp = 3
/
ATOMIC_SPECIES
Sm 150.36 Sm.upf
Y 88.91 Y.upf
Ho 164.93 Ho.upf
ATOMIC_POSITIONS angstrom
Sm -3.0458 1.4265 6.6922
Sm 8.9775 4.8106 0.7587
Sm -2.8858 -1.9577 6.6922
Sm 8.8175 1.4265 0.7587
Sm 2.7515 -0.7781 2.1422
Sm 3.1801 2.6061 5.3088
Sm 3.1801 2.6061 2.1422
Sm 2.7515 -0.7781 5.3088
Sm -2.8612 2.7292 3.7255
Sm 8.7928 -0.6550 3.7255
Y 0.0580 3.7436 1.8939
Y 5.8737 0.3595 5.5571
Y 5.8737 0.3595 1.8939
Y 0.0580 3.7436 5.5571
Ho 0.0000 0.2541 0.0000
Ho 5.9316 3.6383 0.0000
Ho 0.0672 0.6595 3.7255
Ho 5.8644 4.0436 3.7255
CELL_PARAMETERS angstrom
11.8633 0.0000 0.0000
0.0000 6.7684 0.0000
-5.9316 -3.3842 7.4510
```

## Properties
excess energy over the best structure of this formula in the dataset = 180 meV per atom
DFT formation energy = 21.0 kJ per mole of atoms
crystal system = orthorhombic
Fermi-level density of states = 27.32 states/eV/cell

---

2.
A plane-wave DFT calculation with GGA-PBE was carried out for a relaxed SmY6Ho4 crystal. Values from VASP.

```
&SYSTEM
  ibrav = 0, nat = 22, ntyp = 3
/
ATOMIC_SPECIES
Sm 150.36 Sm.upf
Y 88.91 Y.upf
Ho 164.93 Ho.upf
ATOMIC_POSITIONS angstrom
Sm 2.8419 3.1334 6.4379
Sm 0.0000 1.7134 19.3137
Y 2.8419 0.0000 0.0000
Y 2.8419 0.0000 12.8758
Y 0.0000 1.4946 8.2219
Y 2.8419 3.3522 17.5296
Y 2.8419 3.3522 21.0977
Y 0.0000 1.4946 4.6538
Y 2.8419 3.1119 10.2409
Y 0.0000 1.7349 15.5106
Y 0.0000 1.7349 23.1167
Y 2.8419 3.1119 2.6348
Y 0.0000 4.7437 6.4379
Y 2.8419 0.1031 19.3137
Ho 2.8419 3.2761 13.9511
Ho 0.0000 4.6972 3.1139
Ho 0.0000 1.5707 11.8005
Ho 2.8419 0.1496 22.6377
Ho 2.8419 3.2761 24.6763
Ho 0.0000 1.5707 1.0753
Ho 2.8419 0.1496 15.9896
Ho 0.0000 4.6972 9.7619
CELL_PARAMETERS angstrom
5.6839 0.0000 0.0000
-2.8419 4.8468 0.0000
0.0000 0.0000 25.7516
```

## Properties
excess energy over the best structure of this formula in the dataset = 0 meV per atom
DFT formation energy = 11.6 kJ per mole of atoms
crystal system = orthorhombic
Fermi-level density of states = 40.50 states/eV/cell

---

3.
A plane-wave DFT calculation with GGA-PBE was carried out for a relaxed SmY8Ho2 crystal. Values from VASP.

```
&SYSTEM
  ibrav = 0, nat = 11, ntyp = 3
/
ATOMIC_SPECIES
Sm 150.36 Sm.upf
Y 88.91 Y.upf
Ho 164.93 Ho.upf
ATOMIC_POSITIONS angstrom
Sm 2.8253 0.8307 0.0000
Y 5.2244 3.2494 1.9377
Y 6.5552 7.5692 6.1883
Y 2.7941 4.1885 0.0000
Y 5.4870 9.4701 3.3503
Y 4.1562 5.1504 4.7757
Y 5.5183 6.1122 0.0000
Y 3.0880 7.0514 1.9377
Y 4.4188 11.3711 6.1883
Ho 1.3308 4.3197 3.1209
Ho 2.6617 8.6394 5.0051
CELL_PARAMETERS angstrom
5.6507 1.6614 0.0000
2.6617 8.6394 0.0000
1.3308 4.3197 8.1260
```

## Properties
excess energy over the best structure of this formula in the dataset = 0 meV per atom
DFT formation energy = 15.6 kJ per mole of atoms
crystal system = monoclinic
Fermi-level density of states = 18.38 states/eV/cell